# 1
A plane-wave DFT calculation with GGA-PBE was carried out for a relaxed structure of Rb3ZnPb.

Geometry as POSCAR:
```
Rb3ZnPb
1.0
6.733 -5.581 0.000
6.733 5.581 0.000
-5.619 0.000 6.762
Rb Zn Pb
6 2 2
direct
0.052 0.052 0.280
0.091 0.485 0.809
0.485 0.091 0.809
0.515 0.909 0.191
0.909 0.515 0.191
0.948 0.948 0.720
0.298 0.298 0.174
0.702 0.702 0.826
0.430 0.430 0.597
0.570 0.570 0.403
```

Properties
Volume   50.81 A^3/atom
SG   C2/m
ΔH_f (0 K)   0.05 eV per atom
Crystal system   monoclinic

=====

# 2
A plane-wave DFT calculation with GGA-PBE was carried out for a relaxed structure of RbZn3Pb3.

Geometry as POSCAR:
```
RbZn3Pb3
1.0
7.838 0.000 0.000
0.000 7.838 0.000
0.000 0.000 7.838
Rb Zn Pb
2 6 6
direct
0.000 0.000 0.000
0.500 0.500 0.500
0.000 0.250 0.500
0.000 0.750 0.500
0.250 0.500 0.000
0.500 0.000 0.250
0.500 0.000 0.750
0.750 0.500 0.000
0.000 0.500 0.250
0.000 0.500 0.750
0.250 0.000 0.500
0.500 0.250 0.000
0.500 0.750 0.000
0.750 0.000 0.500
```

Properties
Volume   34.39 A^3/atom
SG   Pm-3n
ΔH_f (0 K)   0.15 eV per atom
Crystal system   cubic

=====

# 3
A plane-wave DFT calculation with GGA-PBE was carried out for a relaxed structure of RbZnPb6.

Geometry as POSCAR:
```
RbZnPb6
1.0
5.035 0.000 0.000
0.000 5.035 0.000
0.000 0.000 10.939
Rb Zn Pb
1 1 6
direct
0.000 0.000 0.000
0.000 0.000 0.500
0.000 0.500 0.337
0.000 0.500 0.663
0.500 0.000 0.337
0.500 0.000 0.663
0.500 0.500 0.151
0.500 0.500 0.849
```

Properties
Volume   34.67 A^3/atom
SG   P4/mmm
ΔH_f (0 K)   -0.01 eV per atom
Crystal system   tetragonal

=====

# 4
A plane-wave DFT calculation with GGA-PBE was carried out for a relaxed structure of RbZn2Pb2.

Geometry as POSCAR:
```
RbZn2Pb2
1.0
9.120 0.000 0.000
0.000 9.120 0.000
0.000 0.000 3.399
Rb Zn Pb
2 4 4
direct
0.000 0.000 0.000
0.500 0.500 0.000
0.136 0.364 0.000
0.364 0.864 0.000
0.636 0.136 0.000
0.864 0.636 0.000
0.147 0.647 0.500
0.353 0.147 0.500
0.647 0.853 0.500
0.853 0.353 0.500
```

Properties
Volume   28.27 A^3/atom
SG   P4/mbm
ΔH_f (0 K)   0.10 eV per atom
Crystal system   tetragonal

=====

# 5
A plane-wave DFT calculation with GGA-PBE was carried out for a relaxed structure of RbZn2Pb2.

Geometry as POSCAR:
```
RbZn2Pb2
1.0
-2.471 2.471 6.036
2.471 -2.471 6.036
2.471 2.471 -6.036
Rb Zn Pb
1 2 2
direct
0.000 0.000 0.000
0.394 0.394 0.000
0.606 0.606 0.000
0.250 0.750 0.500
0.750 0.250 0.500
```

Properties
Volume   29.48 A^3/atom
SG   I4/mmm
ΔH_f (0 K)   -0.03 eV per atom
Crystal system   tetragonal

=====

# 6
A plane-wave DFT calculation with GGA-PBE was carried out for a relaxed structure of Rb2ZnPb.

Geometry as POSCAR:
```
Rb2ZnPb
1.0
0.000 4.482 4.482
4.482 0.000 4.482
4.482 4.482 0.000
Rb Zn Pb
2 1 1
direct
0.250 0.250 0.250
0.750 0.750 0.750
0.000 0.000 0.000
0.500 0.500 0.500
```

Properties
Volume   45.01 A^3/atom
SG   Fm-3m
ΔH_f (0 K)   0.20 eV per atom
Crystal system   cubic

=====

# 7
A plane-wave DFT calculation with GGA-PBE was carried out for a relaxed structure of Rb3ZnPb.

Geometry as POSCAR:
```
Rb3ZnPb
1.0
7.246 0.000 0.000
0.000 7.246 0.000
0.000 0.000 7.246
Rb Zn Pb
3 1 1
direct
0.000 0.000 0.500
0.000 0.500 0.000
0.500 0.000 0.000
0.500 0.500 0.500
0.000 0.000 0.000
```

Properties
Volume   76.10 A^3/atom
SG   Pm-3m
ΔH_f (0 K)   0.24 eV per atom
Crystal system   cubic

=====

# 8
A plane-wave DFT calculation with GGA-PBE was carried out for a relaxed structure of Rb2Zn2Pb.

Geometry as POSCAR:
```
Rb2Zn2Pb
1.0
-2.611 2.611 6.903
2.611 -2.611 6.903
2.611 2.611 -6.903
Rb Zn Pb
2 2 1
direct
0.250 0.750 0.500
0.750 0.250 0.500
0.088 0.088 0.000
0.912 0.912 0.000
0.500 0.500 0.000
```

Properties
Volume   37.66 A^3/atom
SG   I4/mmm
ΔH_f (0 K)   0.35 eV per atom
Crystal system   tetragonal

=====

# 9
A plane-wave DFT calculation with GGA-PBE was carried out for a relaxed structure of Rb3Zn2Pb4.

Geometry as POSCAR:
```
Rb3Zn2Pb4
1.0
4.574 0.000 0.000
-2.284 7.257 0.000
-0.008 -2.345 10.624
Rb Zn Pb
3 2 4
direct
0.000 0.000 0.000
0.379 0.758 0.606
0.621 0.242 0.394
0.342 0.687 0.180
0.658 0.313 0.820
0.105 0.207 0.676
0.287 0.573 0.903
0.713 0.427 0.097
0.895 0.793 0.324
```

Properties
Volume   39.19 A^3/atom
SG   P-1
ΔH_f (0 K)   -0.06 eV per atom
Crystal system   triclinic

=====

# 10
A plane-wave DFT calculation with GGA-PBE was carried out for a relaxed structure of RbZr3Pb.

Geometry as POSCAR:
```
RbZr3Pb
1.0
5.626 0.000 0.000
0.000 5.626 0.000
0.000 0.000 5.626
Rb Zr Pb
1 3 1
direct
0.000 0.000 0.000
0.000 0.500 0.500
0.500 0.000 0.500
0.500 0.500 0.000
0.500 0.500 0.500
```

Properties
Volume   35.61 A^3/atom
SG   Pm-3m
ΔH_f (0 K)   1.24 eV per atom
Crystal system   cubic

=====

# 11
A plane-wave DFT calculation with GGA-PBE was carried out for a relaxed structure of Rb2ZrPb.

Geometry as POSCAR:
```
Rb2ZrPb
1.0
-6.718 6.718 2.872
6.718 -6.718 2.872
6.718 6.718 -2.872
Rb Zr Pb
4 2 2
direct
0.375 0.226 0.351
0.774 0.125 0.149
0.875 0.024 0.649
0.976 0.625 0.851
0.250 0.750 0.500
0.500 0.500 0.000
0.000 0.000 0.000
0.750 0.250 0.500
```

Properties
Volume   64.81 A^3/atom
SG   I-42d
ΔH_f (0 K)   0.66 eV per atom
Crystal system   tetragonal

=====

# 12
A plane-wave DFT calculation with GGA-PBE was carried out for a relaxed structure of RbZrPb2.

Geometry as POSCAR:
```
RbZrPb2
1.0
3.932 0.000 0.000
0.000 3.932 0.000
0.000 0.000 8.421
Rb Zr Pb
1 1 2
direct
0.000 0.000 0.000
0.000 0.000 0.500
0.500 0.500 0.318
0.500 0.500 0.682
```

Properties
Volume   32.55 A^3/atom
SG   P4/mmm
ΔH_f (0 K)   -0.05 eV per atom
Crystal system   tetragonal